(1)
Crystalline K4Th3AgS8 at its relaxed geometry, computed with PBE-GGA.

Cell and atoms, written as CIF:
```
data_K4Th3AgS8
_cell_length_a 14.423
_cell_length_b 8.318
_cell_length_c 8.804
_cell_angle_alpha 90.00
_cell_angle_beta 123.09
_cell_angle_gamma 90.00
_space_group_name_H-M_alt 'C 1 2/m 1'
_space_group_IT_number 12
_space_group_name_Hall '-C 2y'
loop_
_atom_site_label
_atom_site_type_symbol
_atom_site_fract_x
_atom_site_fract_y
_atom_site_fract_z
K1 K 0.000 0.000 0.000
K2 K 0.000 0.500 0.000
K3 K 0.250 0.250 0.000
Th1 Th 0.000 0.000 0.500
Th2 Th 0.250 0.250 0.500
Ag1 Ag 0.000 0.500 0.500
S1 S 0.018 0.240 0.293
S2 S 0.236 0.000 0.709
S3 S 0.243 0.500 0.707
```

**ΔE_f (raw)**: -1.535 eV/atom
**D(E_F)**: 0.4075 states/eV per atom
**Total magnetic moment**: 0.01 μB per cell



(2)
Crystalline K2ThAg2S4 at its relaxed geometry, computed with PBE-GGA.

Cell and atoms, written as CIF:
```
data_K2ThAg2S4
_cell_length_a 15.170
_cell_length_b 4.195
_cell_length_c 7.766
_cell_angle_alpha 90.00
_cell_angle_beta 110.72
_cell_angle_gamma 90.00
_space_group_name_H-M_alt 'C 1 2/m 1'
_space_group_IT_number 12
_space_group_name_Hall '-C 2y'
loop_
_atom_site_label
_atom_site_type_symbol
_atom_site_fract_x
_atom_site_fract_y
_atom_site_fract_z
K1 K 0.138 0.000 0.068
Th1 Th 0.000 0.000 0.500
Ag1 Ag 0.180 0.500 0.486
S1 S 0.010 0.500 0.262
S2 S 0.196 0.000 0.696
```

**ΔE_f (raw)**: -1.176 eV/atom
**D(E_F)**: 0.0000 states/eV per atom
**Total magnetic moment**: 0.00 μB per cell



(3)
Crystalline K3Th3AgS8 at its relaxed geometry, computed with PBE-GGA.

Cell and atoms, written as CIF:
```
data_K3Th3AgS8
_cell_length_a 8.3199
_cell_length_b 8.3199
_cell_length_c 22.2061
_cell_angle_alpha 90.00
_cell_angle_beta 90.00
_cell_angle_gamma 120.00
_space_group_name_H-M_alt 'R -3 m'
_space_group_IT_number 166
_space_group_name_Hall '-R 3 2"'
loop_
_atom_site_label
_atom_site_type_symbol
_atom_site_fract_x
_atom_site_fract_y
_atom_site_fract_z
K1 K 0.0000 0.5000 0.0000
Th1 Th 0.0000 0.5000 0.5000
Ag1 Ag 0.0000 0.0000 0.5000
S1 S 0.0000 0.0000 0.2369
S2 S 0.0159 0.5080 0.7670
```

**ΔE_f (raw)**: -1.564 eV/atom
**D(E_F)**: 0.0000 states/eV per atom
**Total magnetic moment**: 0.00 μB per cell



(4)
Crystalline KTiAgS3 at its relaxed geometry, computed with PBE-GGA.

Cell and atoms, written as CIF:
```
data_KTiAgS3
_cell_length_a 14.773
_cell_length_b 7.320
_cell_length_c 7.153
_cell_angle_alpha 90.00
_cell_angle_beta 108.72
_cell_angle_gamma 90.00
_space_group_name_H-M_alt 'C 1 2/m 1'
_space_group_IT_number 12
_space_group_name_Hall '-C 2y'
loop_
_atom_site_label
_atom_site_type_symbol
_atom_site_fract_x
_atom_site_fract_y
_atom_site_fract_z
K1 K 0.178 0.000 0.197
Ti1 Ti 0.071 0.500 0.878
Ag1 Ag 0.000 0.270 0.500
S1 S 0.096 0.500 0.215
S2 S 0.135 0.248 0.791
```

**ΔE_f (raw)**: -0.967 eV/atom
**Total magnetic moment**: 0.00 μB per cell



The calculation returns the following total energy values, one per record and in order: -5.442 -4.712 -5.659 -5.004 eV/atom.
The calculation returns the following V values, one per record and in order: 27.65 25.68 29.58 30.53 Å³ per atom.